# 1
# LaSe2NO

LaSe2NO after structural relaxation (PBE-GGA, Alexandria).

Raw formation energy, eV/atom: -0.0136
DOS at the Fermi energy, states/eV/f.u.: 3.2
Energy relative to the lowest polymorph listed for this composition, eV/f.u.: 0.00
Calculated volume, Å³ per atom: 17.357
Magnetic moment, μB per atom: 0.000
Calculated total energy, eV for the cell shown: -25.248
ρ, g/cm3: 6.25

Lattice parameters (Å, degrees): 4.174 4.174 4.982 90.00 90.00 90.00
Fractional positions:
La (0.000, 0.000, 0.000)
Se (0.000, 0.500, 0.500)
Se (0.500, 0.000, 0.500)
N (0.500, 0.500, 0.000)
O (0.500, 0.500, 0.500)

***

# 2
# LaSiN2O

LaSiN2O after structural relaxation (PBE-GGA, Alexandria).

Raw formation energy, eV/atom: 0.8176
DOS at the Fermi energy, states/eV/f.u.: 3.0
Calculated volume, Å³ per atom: 16.960
Magnetic moment, μB per atom: 0.000
Calculated total energy, eV for the cell shown: -27.872
ρ, g/cm3: 4.13

Lattice parameters (Å, degrees): 4.364 4.364 4.453 90.00 90.00 90.00
Fractional positions:
La (0.000, 0.000, 0.000)
Si (0.500, 0.500, 0.500)
N (0.000, 0.500, 0.000)
N (0.500, 0.000, 0.000)
O (0.000, 0.000, 0.500)

***

# 3
# LaSiN2O

LaSiN2O after structural relaxation (PBE-GGA, Alexandria).

Raw formation energy, eV/atom: -1.4632
DOS at the Fermi energy, states/eV/f.u.: 2.1
Calculated volume, Å³ per atom: 10.806
Magnetic moment, μB per atom: 0.024
Calculated total energy, eV for the cell shown: -39.276
ρ, g/cm3: 6.49

Lattice parameters (Å, degrees): 3.662 3.662 4.029 90.00 90.00 90.00
Fractional positions:
La (0.000, 0.000, 0.000)
Si (0.500, 0.500, 0.500)
N (0.000, 0.500, 0.500)
N (0.500, 0.000, 0.500)
O (0.500, 0.500, 0.000)

***

calculated volume of number 1 (LaSe2NO)?
17.357 Å³ per atom

***

Which formula does entry 3 have?
LaSiN2O